# 1
{"formula": "Sc2IrW", "functional": "meta-GGA SCAN", "state": "PBEsol geometry", "lattice_angstrom": [[2.924, 0.000, 0.000], [0.000, 4.240, 0.000], [0.000, 0.000, 5.525]], "species": ["Sc", "Sc", "Ir", "W"], "frac_coords": [[0.000, 0.000, 0.000], [0.500, 0.500, 0.273], [0.500, 0.500, 0.750], [0.000, 0.000, 0.526]], "crystal_system": "orthorhombic", "vol_a3_per_cell": 68.49, "e_tot_ev_per_cell": -169.54, "total_magnetization_mub_per_fu": 0.000, "dos_ef_per_ev_cell": 3.30}

---

# 2
{"formula": "ScIr2W", "functional": "meta-GGA SCAN", "state": "PBEsol geometry", "lattice_angstrom": [[4.088, 0.000, 0.000], [0.000, 4.088, 0.000], [0.000, 0.000, 3.688]], "species": ["Sc", "Ir", "Ir", "W"], "frac_coords": [[0.000, 0.000, 0.000], [0.000, 0.500, 0.500], [0.500, 0.000, 0.500], [0.500, 0.500, 0.000]], "crystal_system": "tetragonal", "vol_a3_per_cell": 61.65, "de_polymorph_mev_per_atom": 142, "e_tot_ev_per_cell": -227.93, "total_magnetization_mub_per_fu": 0.000, "dos_ef_per_ev_cell": 3.54}

---

# 3
{"formula": "ScIrW", "functional": "meta-GGA SCAN", "state": "PBEsol geometry", "lattice_angstrom": [[2.896, 0.000, 0.000], [0.000, 2.896, 0.000], [0.000, 0.000, 11.826]], "species": ["Sc", "Sc", "Ir", "Ir", "W", "W"], "frac_coords": [[0.000, 0.000, 0.000], [0.500, 0.500, 0.500], [0.000, 0.000, 0.668], [0.500, 0.500, 0.168], [0.000, 0.000, 0.311], [0.500, 0.500, 0.811]], "crystal_system": "tetragonal", "vol_a3_per_cell": 99.16, "e_tot_ev_per_cell": -311.94, "total_magnetization_mub_per_fu": 0.000, "dos_ef_per_ev_cell": 5.07}

---

# 4
{"formula": "ScIr2W", "functional": "meta-GGA SCAN", "state": "PBEsol geometry", "lattice_angstrom": [[5.812, 0.000, 0.000], [0.000, 7.399, 0.000], [0.000, 0.000, 2.858]], "species": ["Sc", "Sc", "Ir", "Ir", "Ir", "Ir", "W", "W"], "frac_coords": [[0.000, 0.000, 0.000], [0.500, 0.500, 0.000], [0.250, 0.250, 0.500], [0.250, 0.750, 0.500], [0.750, 0.250, 0.500], [0.750, 0.750, 0.500], [0.000, 0.500, 0.000], [0.500, 0.000, 0.000]], "crystal_system": "orthorhombic", "vol_a3_per_cell": 122.91, "de_polymorph_mev_per_atom": 0, "e_tot_ev_per_cell": -457.01, "total_magnetization_mub_per_fu": 0.000, "dos_ef_per_ev_cell": 5.42}

---

# 5
{"formula": "ScIr2W", "functional": "meta-GGA SCAN", "state": "PBEsol geometry", "lattice_angstrom": [[3.850, 0.000, 0.000], [0.000, 3.850, 0.000], [0.000, 0.000, 8.324]], "species": ["Sc", "Sc", "Ir", "Ir", "Ir", "Ir", "W", "W"], "frac_coords": [[0.000, 0.000, 0.000], [0.500, 0.500, 0.500], [0.000, 0.000, 0.500], [0.000, 0.500, 0.250], [0.500, 0.000, 0.750], [0.500, 0.500, 0.000], [0.000, 0.500, 0.750], [0.500, 0.000, 0.250]], "crystal_system": "tetragonal", "vol_a3_per_cell": 123.36, "de_polymorph_mev_per_atom": 172, "e_tot_ev_per_cell": -455.63, "total_magnetization_mub_per_fu": 0.000, "dos_ef_per_ev_cell": 3.89}

---

# 6
{"formula": "Sc4IrW", "functional": "meta-GGA SCAN", "state": "PBEsol geometry", "lattice_angstrom": [[0.000, 3.773, 3.773], [3.773, 0.000, 3.773], [3.773, 3.773, 0.000]], "species": ["Sc", "Sc", "Sc", "Sc", "Ir", "W"], "frac_coords": [[0.125, 0.125, 0.125], [0.125, 0.125, 0.625], [0.125, 0.625, 0.125], [0.625, 0.125, 0.125], [0.500, 0.500, 0.500], [0.750, 0.750, 0.750]], "crystal_system": "cubic", "vol_a3_per_cell": 107.43, "e_tot_ev_per_cell": -194.39, "total_magnetization_mub_per_fu": 0.000, "dos_ef_per_ev_cell": 5.79}

---

# 7
{"formula": "YSc2Ir2", "functional": "meta-GGA SCAN", "state": "PBEsol geometry", "lattice_angstrom": [[4.180, 0.000, 0.000], [0.000, 4.180, 0.000], [0.000, 0.000, 11.698]], "species": ["Y", "Y", "Sc", "Sc", "Sc", "Sc", "Ir", "Ir", "Ir", "Ir"], "frac_coords": [[0.000, 0.000, 0.000], [0.500, 0.500, 0.500], [0.000, 0.500, 0.250], [0.000, 0.500, 0.750], [0.500, 0.000, 0.250], [0.500, 0.000, 0.750], [0.000, 0.000, 0.391], [0.000, 0.000, 0.609], [0.500, 0.500, 0.109], [0.500, 0.500, 0.891]], "crystal_system": "tetragonal", "vol_a3_per_cell": 204.40, "e_tot_ev_per_cell": -406.58, "total_magnetization_mub_per_fu": 0.000, "dos_ef_per_ev_cell": 5.15}

---

# 8
{"formula": "YSc2Ir", "functional": "meta-GGA SCAN", "state": "PBEsol geometry", "lattice_angstrom": [[3.228, 0.000, 0.000], [0.000, 3.228, 0.000], [0.000, 0.000, 8.282]], "species": ["Y", "Sc", "Sc", "Ir"], "frac_coords": [[0.000, 0.000, 0.000], [0.500, 0.500, 0.313], [0.500, 0.500, 0.687], [0.000, 0.000, 0.500]], "crystal_system": "tetragonal", "vol_a3_per_cell": 86.30, "de_polymorph_mev_per_atom": 62, "e_tot_ev_per_cell": -129.78, "total_magnetization_mub_per_fu": 0.000, "dos_ef_per_ev_cell": 4.35}

---

# 9
{"formula": "Y2ScIr", "functional": "meta-GGA SCAN", "state": "PBEsol geometry", "lattice_angstrom": [[3.496, 0.000, 0.000], [0.000, 5.038, 0.000], [0.000, 0.000, 10.511]], "species": ["Y", "Y", "Y", "Y", "Sc", "Sc", "Ir", "Ir"], "frac_coords": [[0.000, 0.000, 0.000], [0.000, 0.500, 0.204], [0.500, 0.000, 0.704], [0.500, 0.500, 0.500], [0.000, 0.000, 0.401], [0.500, 0.500, 0.901], [0.000, 0.500, 0.713], [0.500, 0.000, 0.213]], "crystal_system": "orthorhombic", "vol_a3_per_cell": 185.09, "de_polymorph_mev_per_atom": 0, "e_tot_ev_per_cell": -286.92, "total_magnetization_mub_per_fu": 0.000, "dos_ef_per_ev_cell": 7.32}

---

# 10
{"formula": "Y2ScIr", "functional": "meta-GGA SCAN", "state": "PBEsol geometry", "lattice_angstrom": [[3.695, 0.000, 0.000], [-1.847, 3.200, 0.000], [0.000, 0.000, 26.963]], "species": ["Y", "Y", "Y", "Y", "Y", "Y", "Sc", "Sc", "Sc", "Ir", "Ir", "Ir"], "frac_coords": [[0.000, 0.000, 0.000], [0.000, 0.000, 0.220], [0.333, 0.667, 0.667], [0.333, 0.667, 0.886], [0.667, 0.333, 0.333], [0.667, 0.333, 0.553], [0.000, 0.000, 0.770], [0.333, 0.667, 0.437], [0.667, 0.333, 0.104], [0.000, 0.000, 0.490], [0.333, 0.667, 0.156], [0.667, 0.333, 0.823]], "crystal_system": "trigonal", "vol_a3_per_cell": 318.77, "de_polymorph_mev_per_atom": 226, "e_tot_ev_per_cell": -427.67, "total_magnetization_mub_per_fu": 0.003, "dos_ef_per_ev_cell": 8.66}

---

# 11
{"formula": "YScIr4", "functional": "meta-GGA SCAN", "state": "PBEsol geometry", "lattice_angstrom": [[0.000, 3.705, 3.705], [3.705, 0.000, 3.705], [3.705, 3.705, 0.000]], "species": ["Y", "Sc", "Ir", "Ir", "Ir", "Ir"], "frac_coords": [[0.000, 0.000, 0.000], [0.250, 0.250, 0.250], [0.126, 0.625, 0.625], [0.625, 0.126, 0.625], [0.625, 0.625, 0.126], [0.625, 0.625, 0.625]], "crystal_system": "cubic", "vol_a3_per_cell": 101.68, "e_tot_ev_per_cell": -332.21, "total_magnetization_mub_per_fu": 0.000, "dos_ef_per_ev_cell": 5.13}

---

# 12
{"formula": "YSc2Ir", "functional": "meta-GGA SCAN", "state": "PBEsol geometry", "lattice_angstrom": [[3.407, 0.000, 0.000], [0.000, 4.944, 0.000], [0.000, 0.000, 10.191]], "species": ["Y", "Y", "Sc", "Sc", "Sc", "Sc", "Ir", "Ir"], "frac_coords": [[0.000, 0.000, 0.000], [0.500, 0.500, 0.500], [0.000, 0.500, 0.203], [0.000, 0.500, 0.797], [0.500, 0.000, 0.297], [0.500, 0.000, 0.703], [0.000, 0.000, 0.500], [0.500, 0.500, 0.000]], "crystal_system": "orthorhombic", "vol_a3_per_cell": 171.66, "de_polymorph_mev_per_atom": 0, "e_tot_ev_per_cell": -260.06, "total_magnetization_mub_per_fu": 0.094, "dos_ef_per_ev_cell": 7.67}

---

# 13
{"formula": "Y2ScIr", "functional": "meta-GGA SCAN", "state": "PBEsol geometry", "lattice_angstrom": [[4.141, 0.000, 0.000], [0.000, 4.141, 0.000], [0.000, 0.000, 10.115]], "species": ["Y", "Y", "Y", "Y", "Sc", "Sc", "Ir", "Ir"], "frac_coords": [[0.000, 0.000, 0.000], [0.000, 0.500, 0.250], [0.500, 0.000, 0.750], [0.500, 0.500, 0.500], [0.000, 0.500, 0.750], [0.500, 0.000, 0.250], [0.000, 0.000, 0.500], [0.500, 0.500, 0.000]], "crystal_system": "tetragonal", "vol_a3_per_cell": 173.48, "de_polymorph_mev_per_atom": 362, "e_tot_ev_per_cell": -284.03, "total_magnetization_mub_per_fu": 0.000, "dos_ef_per_ev_cell": 10.14}

---

# 14
{"formula": "YSc2Ir", "functional": "meta-GGA SCAN", "state": "PBEsol geometry", "lattice_angstrom": [[6.837, 0.000, 0.000], [0.000, 6.837, 0.000], [0.000, 0.000, 6.837]], "species": ["Y", "Y", "Y", "Y", "Sc", "Sc", "Sc", "Sc", "Sc", "Sc", "Sc", "Sc", "Ir", "Ir", "Ir", "Ir"], "frac_coords": [[0.000, 0.000, 0.000], [0.000, 0.500, 0.500], [0.500, 0.000, 0.500], [0.500, 0.500, 0.000], [0.000, 0.000, 0.500], [0.000, 0.500, 0.000], [0.250, 0.250, 0.250], [0.250, 0.750, 0.750], [0.500, 0.000, 0.000], [0.500, 0.500, 0.500], [0.750, 0.250, 0.750], [0.750, 0.750, 0.250], [0.250, 0.250, 0.750], [0.250, 0.750, 0.250], [0.750, 0.250, 0.250], [0.750, 0.750, 0.750]], "crystal_system": "cubic", "vol_a3_per_cell": 319.63, "de_polymorph_mev_per_atom": 224, "e_tot_ev_per_cell": -516.53, "total_magnetization_mub_per_fu": 0.452, "dos_ef_per_ev_cell": 15.37}

---

# 15
{"formula": "Y2ScIr2", "functional": "meta-GGA SCAN", "state": "PBEsol geometry", "lattice_angstrom": [[7.138, 0.000, 0.000], [0.000, 7.138, 0.000], [0.000, 0.000, 4.109]], "species": ["Y", "Y", "Y", "Y", "Sc", "Sc", "Ir", "Ir", "Ir", "Ir"], "frac_coords": [[0.171, 0.329, 0.000], [0.329, 0.829, 0.000], [0.671, 0.171, 0.000], [0.829, 0.671, 0.000], [0.000, 0.000, 0.500], [0.500, 0.500, 0.500], [0.134, 0.634, 0.500], [0.366, 0.134, 0.500], [0.634, 0.866, 0.500], [0.866, 0.366, 0.500]], "crystal_system": "tetragonal", "vol_a3_per_cell": 209.38, "e_tot_ev_per_cell": -433.44, "total_magnetization_mub_per_fu": 0.000, "dos_ef_per_ev_cell": 6.11}

---

# 16
{"formula": "YScIr", "functional": "meta-GGA SCAN", "state": "PBEsol geometry", "lattice_angstrom": [[6.511, 0.000, 0.000], [0.000, 6.511, 0.000], [0.000, 0.000, 6.511]], "species": ["Y", "Y", "Y", "Y", "Sc", "Sc", "Sc", "Sc", "Ir", "Ir", "Ir", "Ir"], "frac_coords": [[0.000, 0.000, 0.000], [0.000, 0.500, 0.500], [0.500, 0.000, 0.500], [0.500, 0.500, 0.000], [0.000, 0.000, 0.500], [0.000, 0.500, 0.000], [0.500, 0.000, 0.000], [0.500, 0.500, 0.500], [0.250, 0.250, 0.750], [0.250, 0.750, 0.250], [0.750, 0.250, 0.250], [0.750, 0.750, 0.750]], "crystal_system": "cubic", "vol_a3_per_cell": 276.07, "e_tot_ev_per_cell": -462.81, "total_magnetization_mub_per_fu": 0.000, "dos_ef_per_ev_cell": 12.29}

---

# 17
{"formula": "ScZnIr2", "functional": "meta-GGA SCAN", "state": "PBEsol geometry", "lattice_angstrom": [[2.899, 0.000, 0.000], [-1.449, 2.510, 0.000], [0.000, 0.000, 24.964]], "species": ["Sc", "Sc", "Sc", "Zn", "Zn", "Zn", "Ir", "Ir", "Ir", "Ir", "Ir", "Ir"], "frac_coords": [[0.000, 0.000, 0.000], [0.333, 0.667, 0.667], [0.667, 0.333, 0.333], [0.000, 0.000, 0.500], [0.333, 0.667, 0.167], [0.667, 0.333, 0.833], [0.000, 0.000, 0.249], [0.000, 0.000, 0.751], [0.333, 0.667, 0.418], [0.333, 0.667, 0.915], [0.667, 0.333, 0.085], [0.667, 0.333, 0.582]], "crystal_system": "trigonal", "vol_a3_per_cell": 181.66, "e_tot_ev_per_cell": -514.30, "total_magnetization_mub_per_fu": 0.000, "dos_ef_per_ev_cell": 5.66}

---

# 18
{"formula": "ScZn2Ir2", "functional": "meta-GGA SCAN", "state": "PBEsol geometry", "lattice_angstrom": [[7.083, 0.000, 0.000], [0.000, 7.083, 0.000], [0.000, 0.000, 2.954]], "species": ["Sc", "Sc", "Zn", "Zn", "Zn", "Zn", "Ir", "Ir", "Ir", "Ir"], "frac_coords": [[0.000, 0.000, 0.000], [0.500, 0.500, 0.000], [0.121, 0.379, 0.000], [0.379, 0.879, 0.000], [0.621, 0.121, 0.000], [0.879, 0.621, 0.000], [0.177, 0.677, 0.500], [0.323, 0.177, 0.500], [0.677, 0.823, 0.500], [0.823, 0.323, 0.500]], "crystal_system": "tetragonal", "vol_a3_per_cell": 148.23, "e_tot_ev_per_cell": -372.44, "total_magnetization_mub_per_fu": 0.000, "dos_ef_per_ev_cell": 2.51}

---

# 19
{"formula": "ScZnIr", "functional": "meta-GGA SCAN", "state": "PBEsol geometry", "lattice_angstrom": [[5.940, 0.000, 0.000], [0.000, 5.940, 0.000], [0.000, 0.000, 5.940]], "species": ["Sc", "Sc", "Sc", "Sc", "Zn", "Zn", "Zn", "Zn", "Ir", "Ir", "Ir", "Ir"], "frac_coords": [[0.000, 0.000, 0.000], [0.000, 0.500, 0.500], [0.500, 0.000, 0.500], [0.500, 0.500, 0.000], [0.250, 0.250, 0.750], [0.250, 0.750, 0.250], [0.750, 0.250, 0.250], [0.750, 0.750, 0.750], [0.000, 0.000, 0.500], [0.000, 0.500, 0.000], [0.500, 0.000, 0.000], [0.500, 0.500, 0.500]], "crystal_system": "cubic", "vol_a3_per_cell": 209.64, "e_tot_ev_per_cell": -399.83, "total_magnetization_mub_per_fu": 0.000, "dos_ef_per_ev_cell": 7.54}

---

# 20
{"formula": "ScZnIr3", "functional": "meta-GGA SCAN", "state": "PBEsol geometry", "lattice_angstrom": [[4.455, 0.000, 0.000], [0.000, 4.455, 0.000], [0.000, 0.000, 4.455]], "species": ["Sc", "Zn", "Ir", "Ir", "Ir"], "frac_coords": [[0.000, 0.000, 0.000], [0.500, 0.500, 0.500], [0.000, 0.500, 0.500], [0.500, 0.000, 0.500], [0.500, 0.500, 0.000]], "crystal_system": "cubic", "vol_a3_per_cell": 88.44, "e_tot_ev_per_cell": -237.67, "total_magnetization_mub_per_fu": 0.000, "dos_ef_per_ev_cell": 3.25}